(1)
## UTiZn (GGA-PBE)

Data for an optimized crystal structure of UTiZn.

Structure (POSCAR):
```
UTiZn
1.0
-0.714 -0.945 -3.583
2.618 -2.711 0.193
-5.384 -5.029 2.399
U Ti Zn
2 2 2
Cartesian
-2.692 -2.514 1.199
-1.740 -4.342 -0.495
-5.030 -4.837 0.291
0.598 -2.019 0.413
-2.993 -5.374 2.013
-1.439 -1.483 -1.309
```

Values from the calculation:
The space-group type is No. 129. The energy relative to the elements is 4.878 kcal/mol of atoms. As for the density of states at the Fermi level: 1.93 states/eV per atom.

---

(2)
## UTiZn17 (GGA-PBE)

Data for an optimized crystal structure of UTiZn17.

Structure (POSCAR):
```
UTiZn17
1.0
6.680 0.056 0.850
0.756 6.637 0.850
0.062 0.056 6.733
Zn U Ti
17 1 1
Cartesian
4.228 6.639 7.926
6.045 2.393 3.390
4.875 2.020 0.883
4.672 0.092 2.607
0.582 4.637 2.607
6.789 6.111 7.637
4.731 4.259 2.318
0.788 0.709 0.886
2.659 2.393 6.401
2.521 4.637 0.883
4.419 1.291 4.970
1.748 4.259 4.970
3.014 5.761 3.390
7.376 6.639 5.127
2.041 0.092 4.945
0.306 2.020 4.945
7.046 3.508 7.926
4.992 4.493 5.615
2.396 2.157 2.695
```

Values from the calculation:
The space-group type is No. 160. The energy relative to the elements is -0.660 kcal/mol of atoms. As for the density of states at the Fermi level: 0.58 states/eV per atom.

---

(3)
## Zr2UTi (GGA-PBE)

Data for an optimized crystal structure of Zr2UTi.

Structure (POSCAR):
```
Zr2UTi
1.0
-1.504 1.419 4.462
-4.335 -1.539 1.739
-0.157 -3.247 3.690
Zr Ti U
2 1 1
Cartesian
-1.499 -0.841 2.472
-4.496 -2.526 7.418
-2.998 -1.684 4.945
0.000 0.000 0.000
```

Values from the calculation:
The space-group type is No. 225. The energy relative to the elements is 5.342 kcal/mol of atoms. As for the density of states at the Fermi level: 1.58 states/eV per atom.

---

(4)
## ZrU10Ti4 (GGA-PBE)

Data for an optimized crystal structure of ZrU10Ti4.

Structure (POSCAR):
```
ZrU10Ti4
1.0
-17.284 7.887 -10.176
15.888 -12.035 8.199
-1.600 -0.553 2.289
Ti U Zr
4 10 1
Cartesian
-12.620 4.330 -6.005
9.624 -9.030 6.317
-5.996 0.351 -2.336
3.001 -5.052 2.648
5.984 -6.087 2.713
-7.380 1.939 -4.690
-13.910 5.861 -8.307
8.281 -7.466 3.985
1.622 -3.467 0.297
-16.226 7.252 -9.590
14.830 -11.399 7.613
12.514 -10.009 6.330
-9.676 3.319 -5.962
-3.018 -0.680 -2.274
-1.498 -2.350 0.156
```

Values from the calculation:
The space-group type is No. 65. The energy relative to the elements is 3.908 kcal/mol of atoms. As for the density of states at the Fermi level: 1.75 states/eV per atom.

---

Which value of energy relative to the elements does entry 1 give? 4.878 kcal/mol of atoms

---

Which of these has the lowest energy relative to the elements? UTiZn17